# 1
# TiMnNiMo (PBE-GGA, optimized geometry)
# uncorrected energy	-8.508	eV/atom
# space-group type	No. 216
data_TiMnNiMo
_space_group_name_H-M_alt 'P 1'
_space_group_IT_number 1
_cell_length_a 4.2409
_cell_length_b 4.2409
_cell_length_c 4.2409
_cell_angle_alpha 60.00
_cell_angle_beta 60.00
_cell_angle_gamma 60.00
loop_
_space_group_symop_operation_xyz
'x,y,z'
loop_
_atom_site_label
_atom_site_type_symbol
_atom_site_fract_x
_atom_site_fract_y
_atom_site_fract_z
Mn1 Mn 0.7500 0.7500 0.7500
Mo1 Mo 0.0000 0.0000 0.0000
Ni1 Ni 0.5000 0.5000 0.5000
Ti1 Ti 0.2500 0.2500 0.2500

***

# 2
# Pr4SmSi4 (PBE-GGA, optimized geometry)
# uncorrected formation energy	-0.452	eV per atom
# space-group type	No. 86
data_Pr4SmSi4
_space_group_name_H-M_alt 'P 1'
_space_group_IT_number 1
_cell_length_a 6.0932
_cell_length_b 9.0869
_cell_length_c 9.0869
_cell_angle_alpha 90.00
_cell_angle_beta 90.00
_cell_angle_gamma 90.00
loop_
_space_group_symop_operation_xyz
'x,y,z'
loop_
_atom_site_label
_atom_site_type_symbol
_atom_site_fract_x
_atom_site_fract_y
_atom_site_fract_z
Pr1 Pr 0.8637 0.4219 0.1990
Pr2 Pr 0.3637 0.6990 0.0781
Si1 Si 0.6491 0.7614 0.3667
Si2 Si 0.3509 0.6333 0.7614
Pr3 Pr 0.3637 0.3010 0.9219
Si3 Si 0.3509 0.3667 0.2386
Si4 Si 0.8509 0.2614 0.8667
Pr4 Pr 0.1363 0.8010 0.4219
Pr5 Pr 0.6363 0.0781 0.3010
Si5 Si 0.8509 0.7386 0.1333
Pr6 Pr 0.1363 0.1990 0.5781
Si6 Si 0.1491 0.1333 0.2614
Sm1 Sm 0.0000 0.0000 0.0000
Si7 Si 0.1491 0.8667 0.7386
Pr7 Pr 0.8637 0.5781 0.8010
Si8 Si 0.6491 0.2386 0.6333
Sm2 Sm 0.5000 0.5000 0.5000
Pr8 Pr 0.6363 0.9219 0.6990

***

# 3
# Ca2AuSe (PBE-GGA, optimized geometry)
# uncorrected formation energy	-0.522	eV per atom
# space-group type	No. 216
data_Ca2AuSe
_space_group_name_H-M_alt 'P 1'
_space_group_IT_number 1
_cell_length_a 5.1982
_cell_length_b 5.1982
_cell_length_c 5.1982
_cell_angle_alpha 60.00
_cell_angle_beta 60.00
_cell_angle_gamma 60.00
loop_
_space_group_symop_operation_xyz
'x,y,z'
loop_
_atom_site_label
_atom_site_type_symbol
_atom_site_fract_x
_atom_site_fract_y
_atom_site_fract_z
Au1 Au 0.5000 0.5000 0.5000
Ca1 Ca 0.2500 0.2500 0.2500
Ca2 Ca 0.0000 0.0000 0.0000
Se1 Se 0.7500 0.7500 0.7500

***

# 4
# Sm4Tl2CdRh (PBE-GGA, optimized geometry)
# uncorrected energy	-4.412	eV/atom
# space-group type	No. 166
data_Sm4Tl2CdRh
_space_group_name_H-M_alt 'P 1'
_space_group_IT_number 1
_cell_length_a 5.3541
_cell_length_b 5.3541
_cell_length_c 9.1374
_cell_angle_alpha 72.96
_cell_angle_beta 72.96
_cell_angle_gamma 60.00
loop_
_space_group_symop_operation_xyz
'x,y,z'
loop_
_atom_site_label
_atom_site_type_symbol
_atom_site_fract_x
_atom_site_fract_y
_atom_site_fract_z
Sm1 Sm 0.6128 0.6128 0.1617
Sm2 Sm 0.3872 0.3872 0.8383
Cd1 Cd 0.0000 0.0000 0.0000
Tl1 Tl 0.7402 0.7402 0.7793
Tl2 Tl 0.2598 0.2598 0.2207
Sm3 Sm 0.1330 0.1330 0.6011
Sm4 Sm 0.8670 0.8670 0.3989
Rh1 Rh 0.5000 0.5000 0.5000

***

# 5
# NiRu2 (PBE-GGA, optimized geometry)
# uncorrected energy	-7.656	eV/atom
# space-group type	No. 189
data_NiRu2
_space_group_name_H-M_alt 'P 1'
_space_group_IT_number 1
_cell_length_a 6.2286
_cell_length_b 6.2286
_cell_length_c 3.6080
_cell_angle_alpha 90.00
_cell_angle_beta 90.00
_cell_angle_gamma 120.00
loop_
_space_group_symop_operation_xyz
'x,y,z'
loop_
_atom_site_label
_atom_site_type_symbol
_atom_site_fract_x
_atom_site_fract_y
_atom_site_fract_z
Ru1 Ru 0.0000 0.5917 0.5000
Ru2 Ru 0.7491 0.7491 0.0000
Ru3 Ru 0.4083 0.4083 0.5000
Ni1 Ni 0.0000 0.0000 0.5000
Ru4 Ru 0.0000 0.2509 0.0000
Ru5 Ru 0.5917 0.0000 0.5000
Ru6 Ru 0.2509 0.0000 0.0000
Ni2 Ni 0.3333 0.6667 0.0000
Ni3 Ni 0.6667 0.3333 0.0000

***

# 6
# Cr3CuNi12 (PBE-GGA, optimized geometry)
# uncorrected energy	-6.400	eV/atom
# space-group type	No. 123
data_Cr3CuNi12
_space_group_name_H-M_alt 'P 1'
_space_group_IT_number 1
_cell_length_a 3.5420
_cell_length_b 3.5420
_cell_length_c 14.1841
_cell_angle_alpha 90.00
_cell_angle_beta 90.00
_cell_angle_gamma 90.00
loop_
_space_group_symop_operation_xyz
'x,y,z'
loop_
_atom_site_label
_atom_site_type_symbol
_atom_site_fract_x
_atom_site_fract_y
_atom_site_fract_z
Ni1 Ni 0.0000 0.5000 0.1266
Cr1 Cr 0.0000 0.0000 0.5000
Ni2 Ni 0.5000 0.0000 0.6259
Ni3 Ni 0.5000 0.0000 0.1266
Cu1 Cu 0.0000 0.0000 0.0000
Ni4 Ni 0.5000 0.5000 0.0000
Ni5 Ni 0.0000 0.5000 0.3741
Cr2 Cr 0.0000 0.0000 0.2473
Ni6 Ni 0.5000 0.5000 0.2502
Ni7 Ni 0.5000 0.5000 0.5000
Ni8 Ni 0.0000 0.5000 0.6259
Ni9 Ni 0.5000 0.5000 0.7498
Ni10 Ni 0.5000 0.0000 0.8734
Ni11 Ni 0.0000 0.5000 0.8734
Cr3 Cr 0.0000 0.0000 0.7527
Ni12 Ni 0.5000 0.0000 0.3741

***

# 7
# LuZrPa (PBE-GGA, optimized geometry)
# uncorrected energy	-7.385	eV/atom
# space-group type	No. 107
data_LuZrPa
_space_group_name_H-M_alt 'P 1'
_space_group_IT_number 1
_cell_length_a 3.2071
_cell_length_b 3.2071
_cell_length_c 7.8259
_cell_angle_alpha 101.82
_cell_angle_beta 101.82
_cell_angle_gamma 90.00
loop_
_space_group_symop_operation_xyz
'x,y,z'
loop_
_atom_site_label
_atom_site_type_symbol
_atom_site_fract_x
_atom_site_fract_y
_atom_site_fract_z
Lu1 Lu 0.2818 0.2818 0.5636
Zr1 Zr 0.6130 0.6130 0.2261
Pa1 Pa 0.9551 0.9551 0.9103

***

# 8
# Ca2MgCdHg6 (PBE-GGA, optimized geometry)
# uncorrected energy	-1.113	eV/atom
# space-group type	No. 2
data_Ca2MgCdHg6
_space_group_name_H-M_alt 'P 1'
_space_group_IT_number 1
_cell_length_a 5.9348
_cell_length_b 9.2245
_cell_length_c 8.7757
_cell_angle_alpha 49.58
_cell_angle_beta 65.72
_cell_angle_gamma 100.67
loop_
_space_group_symop_operation_xyz
'x,y,z'
loop_
_atom_site_label
_atom_site_type_symbol
_atom_site_fract_x
_atom_site_fract_y
_atom_site_fract_z
Hg1 Hg 0.8575 0.0566 0.3468
Ca1 Ca 0.8056 0.4317 0.2943
Hg2 Hg 0.7837 0.5812 0.5386
Hg3 Hg 0.4971 0.0813 0.1131
Cd1 Cd 0.5000 0.5000 0.0000
Mg1 Mg 0.0000 0.0000 0.0000
Hg4 Hg 0.5029 0.9187 0.8869
Ca2 Ca 0.1944 0.5683 0.7057
Hg5 Hg 0.1425 0.9434 0.6532
Hg6 Hg 0.2163 0.4188 0.4614

***

# 9
# ThPd6Au (PBE-GGA, optimized geometry)
# uncorrected energy	-5.790	eV/atom
# space-group type	No. 65
data_ThPd6Au
_space_group_name_H-M_alt 'P 1'
_space_group_IT_number 1
_cell_length_a 4.1522
_cell_length_b 5.7826
_cell_length_c 5.7826
_cell_angle_alpha 89.93
_cell_angle_beta 90.00
_cell_angle_gamma 90.00
loop_
_space_group_symop_operation_xyz
'x,y,z'
loop_
_atom_site_label
_atom_site_type_symbol
_atom_site_fract_x
_atom_site_fract_y
_atom_site_fract_z
Pd1 Pd 0.0000 0.2545 0.2545
Pd2 Pd 0.5000 0.0000 0.5000
Pd3 Pd 0.0000 0.2546 0.7454
Pd4 Pd 0.0000 0.7454 0.2546
Th1 Th 0.5000 0.0000 0.0000
Au1 Au 0.5000 0.5000 0.5000
Pd5 Pd 0.0000 0.7455 0.7455
Pd6 Pd 0.5000 0.5000 0.0000

***

# 10
# PRh2W (PBE-GGA, optimized geometry)
# uncorrected energy	-8.252	eV/atom
# space-group type	No. 65
data_PRh2W
_space_group_name_H-M_alt 'P 1'
_space_group_IT_number 1
_cell_length_a 4.6805
_cell_length_b 4.6805
_cell_length_c 2.8151
_cell_angle_alpha 90.00
_cell_angle_beta 90.00
_cell_angle_gamma 111.53
loop_
_space_group_symop_operation_xyz
'x,y,z'
loop_
_atom_site_label
_atom_site_type_symbol
_atom_site_fract_x
_atom_site_fract_y
_atom_site_fract_z
Rh1 Rh 0.5000 0.0000 0.0000
Rh2 Rh 0.0000 0.5000 0.0000
W1 W 0.0000 0.0000 0.5000
P1 P 0.5000 0.5000 0.5000

***

In order of appearance, Fermi-level density of states = 4.38; 8.43; 1.29; 5.44; 4.81; 24.23; 5.87; 4.09; 5.64; 4.22 states/eV/f.u..